(1)
La3PrF | GGA-PBE | relaxed

Formation energy from raw total energies: -1.03 eV/atom

CIF file:
```
data_La3PrF
_symmetry_space_group_name_H-M 'P m -3 m'
_symmetry_Int_Tables_number 221
_symmetry_space_group_name_Hall '-P 4 2 3'
_cell_length_a 5.300
_cell_length_b 5.300
_cell_length_c 5.300
_cell_angle_alpha 90.00
_cell_angle_beta 90.00
_cell_angle_gamma 90.00
loop_
_atom_site_label
_atom_site_fract_x
_atom_site_fract_y
_atom_site_fract_z
_atom_site_occupancy
La1 0.000 0.000 0.500 1
Pr1 0.500 0.500 0.500 1
F1 0.000 0.000 0.000 1
```

(2)
Sb5S12I3 | GGA-PBE | relaxed

Formation energy from raw total energies: 0.29 eV/atom

CIF file:
```
data_Sb5S12I3
_symmetry_space_group_name_H-M 'I a -3 d'
_symmetry_Int_Tables_number 230
_symmetry_space_group_name_Hall '-I 4bd 2c 3'
_cell_length_a 17.089
_cell_length_b 17.089
_cell_length_c 17.089
_cell_angle_alpha 90.00
_cell_angle_beta 90.00
_cell_angle_gamma 90.00
loop_
_atom_site_label
_atom_site_fract_x
_atom_site_fract_y
_atom_site_fract_z
_atom_site_occupancy
Sb1 0.000 0.000 0.000 1
Sb2 0.000 0.250 0.375 1
S1 0.020 0.024 0.654 1
I1 0.000 0.250 0.125 1
```

(3)
KHf2AgAs | GGA-PBE | relaxed

Formation energy from the elements: 0.56 eV/atom

CIF file:
```
data_KHf2AgAs
_symmetry_space_group_name_H-M 'P 4/m m m'
_symmetry_Int_Tables_number 123
_symmetry_space_group_name_Hall '-P 4 2'
_cell_length_a 5.128
_cell_length_b 5.128
_cell_length_c 5.210
_cell_angle_alpha 90.00
_cell_angle_beta 90.00
_cell_angle_gamma 90.00
loop_
_atom_site_label
_atom_site_fract_x
_atom_site_fract_y
_atom_site_fract_z
_atom_site_occupancy
K1 0.000 0.000 0.000 1
Hf1 0.000 0.500 0.500 1
Ag1 0.500 0.500 0.000 1
As1 0.500 0.500 0.500 1
```

(4)
BeCo2Si | GGA-PBE | relaxed

Formation energy from raw total energies: -0.60 eV/atom

CIF file:
```
data_BeCo2Si
_symmetry_space_group_name_H-M 'F m -3 m'
_symmetry_Int_Tables_number 225
_symmetry_space_group_name_Hall '-F 4 2 3'
_cell_length_a 5.359
_cell_length_b 5.359
_cell_length_c 5.359
_cell_angle_alpha 90.00
_cell_angle_beta 90.00
_cell_angle_gamma 90.00
loop_
_atom_site_label
_atom_site_fract_x
_atom_site_fract_y
_atom_site_fract_z
_atom_site_occupancy
Be1 0.000 0.000 0.000 1
Co1 0.250 0.250 0.250 1
Si1 0.000 0.000 0.500 1
```

(5)
Dy4TlCdHg2 | GGA-PBE | relaxed

Formation energy from the elements: -0.40 eV/atom

CIF file:
```
data_Dy4TlCdHg2
_symmetry_space_group_name_H-M 'R -3 m'
_symmetry_Int_Tables_number 166
_symmetry_space_group_name_Hall '-R 3 2"'
_cell_length_a 5.2850
_cell_length_b 5.2850
_cell_length_c 26.1187
_cell_angle_alpha 90.00
_cell_angle_beta 90.00
_cell_angle_gamma 120.00
loop_
_atom_site_label
_atom_site_fract_x
_atom_site_fract_y
_atom_site_fract_z
_atom_site_occupancy
Dy1 0.0000 0.0000 0.1243 1
Dy2 0.0000 0.0000 0.3749 1
Tl1 0.0000 0.0000 0.5000 1
Cd1 0.0000 0.0000 0.0000 1
Hg1 0.0000 0.0000 0.2546 1
```

(6)
SrZnCrAs2 | GGA-PBE | relaxed

Formation energy from the elements: 1.68 eV/atom

CIF file:
```
data_SrZnCrAs2
_symmetry_space_group_name_H-M 'P 4/m m m'
_symmetry_Int_Tables_number 123
_symmetry_space_group_name_Hall '-P 4 2'
_cell_length_a 5.565
_cell_length_b 5.565
_cell_length_c 5.427
_cell_angle_alpha 90.00
_cell_angle_beta 90.00
_cell_angle_gamma 90.00
loop_
_atom_site_label
_atom_site_fract_x
_atom_site_fract_y
_atom_site_fract_z
_atom_site_occupancy
Sr1 0.000 0.000 0.000 1
Zn1 0.000 0.000 0.500 1
Cr1 0.500 0.500 0.500 1
As1 0.000 0.500 0.000 1
```

| no. | spin magnetization (μB/f.u.) |
| --- | --- |
| 1 | 0.00 |
| 2 | 0.00 |
| 3 | 0.00 |
| 4 | 0.00 |
| 5 | 0.25 |
| 6 | 0.67 |